# 1
First-principles (PBE-GGA) data for an optimized crystal structure of Tm2RuPbO8, as listed in the Alexandria database.

Cell lengths 4.9498, 4.9491, 6.7531 Å; angles 90.00, 90.00, 91.27 degrees
Last column: nearest neighbours and their distance in Å.
Element x y z (fractional)
O: 0.1851 0.8146 0.2161  1 Ru 1.96
O: 0.1849 0.8144 0.7839  1 Ru 1.96
O: 0.2725 0.2720 0.9999  1 Ru 1.88
O: 0.6900 0.6907 0.4999  1 Pb 2.14, 2 Tm 2.15
O: 0.7275 0.7280 0.0001  1 Ru 1.88
O: 0.8149 0.1854 0.7839  1 Ru 1.96
O: 0.3100 0.3093 0.5001  1 Pb 2.14, 2 Tm 2.15
O: 0.8151 0.1856 0.2161  1 Ru 1.96
Tm: 0.5001 0.5001 0.7515  6 O 2.15-2.30
Tm: 0.4999 0.4999 0.2485  6 O 2.15-2.30
Pb: 0.0000 0.0000 0.5000  6 O 2.14-2.32
Ru: 0.0000 0.0000 0.0000  6 O 1.88-1.96

Summary:
Space-group type ... Cmmm
Raw total energy ... -7.0827 eV/atom

---

# 2
First-principles (PBE-GGA) data for an optimized crystal structure of TmRu2PbO8, as listed in the Alexandria database.

Cell lengths 5.9177, 5.9177, 7.0915 Å; angles 90.00, 90.00, 120.00 degrees
Last column: nearest neighbours and their distance in Å.
Element x y z (fractional)
O: 0.1629 0.8388 0.7057  1 Ru 1.83
O: 0.3333 0.6667 0.0275  1 Ru 1.77
O: 0.8371 0.1612 0.2943  1 Ru 1.83
O: 0.3241 0.1629 0.2943  1 Ru 1.83
O: 0.8388 0.6759 0.2943  1 Ru 1.83
O: 0.6759 0.8371 0.7057  1 Ru 1.83
O: 0.1612 0.3241 0.7057  1 Ru 1.83
O: 0.6667 0.3333 0.9725  1 Ru 1.77
Tm: 0.0000 0.0000 0.5000  6 O 2.21
Ru: 0.3333 0.6667 0.7782  4 O 1.77-1.83
Ru: 0.6667 0.3333 0.2218  4 O 1.77-1.83
Pb: 0.0000 0.0000 0.0000  6 O 2.67

Summary:
Space-group type ... P-3
Raw total energy ... -6.8553 eV/atom

---

# 3
First-principles (PBE-GGA) data for an optimized crystal structure of TmRuPb2O6, as listed in the Alexandria database.

Cell lengths 5.8247, 5.8380, 8.2311 Å; angles 90.00, 90.26, 90.00 degrees
Last column: nearest neighbours and their distance in Å.
Element x y z (fractional)
O: 0.7676 0.7958 0.5390  1 Ru 1.99, 1 Tm 2.22
O: 0.7000 0.2709 0.5381  1 Ru 1.99, 1 Tm 2.22
O: 0.9274 0.5145 0.2351  1 Ru 1.98, 1 Tm 2.22
O: 0.2324 0.2042 0.4610  1 Ru 1.99, 1 Tm 2.22
O: 0.3000 0.7291 0.4619  1 Ru 1.99, 1 Tm 2.22
O: 0.2000 0.2291 0.0381  1 Ru 1.99, 1 Tm 2.22
O: 0.2676 0.7042 0.0390  1 Ru 1.99, 1 Tm 2.22
O: 0.7324 0.2958 0.9610  1 Ru 1.99, 1 Tm 2.22
O: 0.0726 0.4855 0.7649  1 Ru 1.98, 1 Tm 2.22
O: 0.8000 0.7709 0.9619  1 Ru 1.99, 1 Tm 2.22
O: 0.5726 0.0145 0.2649  1 Ru 1.98, 1 Tm 2.22
O: 0.4274 0.9855 0.7351  1 Ru 1.98, 1 Tm 2.22
Ru: 0.0000 0.5000 0.0000  6 O 1.98-1.99
Ru: 0.5000 0.0000 0.5000  6 O 1.98-1.99
Tm: 0.0000 0.5000 0.5000  6 O 2.22
Tm: 0.5000 0.0000 0.0000  6 O 2.22
Pb: 0.0074 0.9729 0.2485  6 O 2.55-2.83
Pb: 0.5074 0.5271 0.7485  6 O 2.55-2.83
Pb: 0.9926 0.0271 0.7515  6 O 2.55-2.83
Pb: 0.4926 0.4729 0.2515  6 O 2.55-2.83

Summary:
Space-group type ... P2_1/c
Raw total energy ... -6.7594 eV/atom

---

# 4
First-principles (PBE-GGA) data for an optimized crystal structure of URuPbO6, as listed in the Alexandria database.

Cell lengths 5.4496, 5.4496, 10.8905 Å; angles 90.00, 90.00, 120.00 degrees
Last column: nearest neighbours and their distance in Å.
Element x y z (fractional)
O: 0.0118 0.6393 0.3525  1 Ru 2.02, 1 U 2.10
O: 0.3724 0.0118 0.6475  1 Ru 2.02, 1 U 2.10
O: 0.9882 0.6276 0.8525  1 Ru 2.02, 1 U 2.10
O: 0.6276 0.9882 0.3525  1 Ru 2.02, 1 U 2.10
O: 0.3607 0.3724 0.3525  1 Ru 2.02, 1 U 2.10
O: 0.6276 0.6393 0.1475  1 Ru 2.02, 1 U 2.10
O: 0.3724 0.3607 0.8525  1 Ru 2.02, 1 U 2.10
O: 0.3607 0.9882 0.1475  1 Ru 2.02, 1 U 2.10
O: 0.0118 0.3724 0.1475  1 Ru 2.02, 1 U 2.10
O: 0.6393 0.0118 0.8525  1 Ru 2.02, 1 U 2.10
O: 0.9882 0.3607 0.6475  1 Ru 2.02, 1 U 2.10
O: 0.6393 0.6276 0.6475  1 Ru 2.02, 1 U 2.10
Pb: 0.0000 0.0000 0.0000  6 O 2.56
Pb: 0.0000 0.0000 0.5000  6 O 2.56
U: 0.3333 0.6667 0.7500  6 O 2.10
U: 0.6667 0.3333 0.2500  6 O 2.10
Ru: 0.6667 0.3333 0.7500  6 O 2.02
Ru: 0.3333 0.6667 0.2500  6 O 2.02

Summary:
Space-group type ... P-31c
Raw total energy ... -7.9292 eV/atom

---

Magnetic moment, respectively: 0.36, 3.02, 2.81, 2.00 μB per formula unit.
V, respectively: 13.78, 17.92, 13.99, 15.56 Å³/atom.
Formation energy (no corrections), respectively: -2258, -1531, -1609, -1673 kJ/mol of formula units.